4
Lattice="0.000 2.566 2.566 2.566 0.000 2.566 2.566 2.566 0.000" Properties=species:S:1:pos:R:3 comment="NiC2F, optimized geometry, DFT PBE with a Hubbard U" total_energy_ev_per_cell=-13.15 magmom_total_mub_per_fu=0.00 pbc="T T T"
C 3.849 3.849 3.849
C 1.283 1.283 1.283
F 0.000 0.000 0.000
Ni 2.566 2.566 2.566